Model i:
DFT (PBE-GGA) results for Ba4Tl2I after structural relaxation.

a = 9.328 Å, b = 9.328 Å, c = 9.328 Å
α = 110.00°, β = 108.42°, γ = 110.00°
Atoms (fractional coordinates):
I (0.000, 0.000, 0.000)
I (0.750, 0.500, 0.250)
Tl (0.875, 0.121, 0.496)
Tl (0.504, 0.379, 0.625)
Tl (0.375, 0.879, 0.754)
Tl (0.246, 0.621, 0.125)
Ba (0.131, 0.897, 0.384)
Ba (0.616, 0.747, 0.514)
Ba (0.983, 0.603, 0.736)
Ba (0.264, 0.247, 0.866)
Ba (0.619, 0.753, 0.017)
Ba (0.767, 0.253, 0.869)
Ba (0.486, 0.103, 0.233)
Ba (0.134, 0.397, 0.381)

Summary:
- Crystal system: tetragonal
- Space-group type: No. 122


Model ii:
DFT (PBE-GGA) results for Ba4Tl2I after structural relaxation.

a = 10.558 Å, b = 9.229 Å, c = 10.211 Å
α = 124.73°, β = 108.35°, γ = 102.73°
Atoms (fractional coordinates):
Ba (0.951, 0.174, 0.285)
Ba (0.388, 0.466, 0.184)
Ba (0.750, 0.439, 0.586)
Ba (0.842, 0.255, 0.876)
Ba (0.235, 0.861, 0.145)
Ba (0.397, 0.200, 0.720)
Ba (0.439, 0.726, 0.805)
Ba (0.910, 0.813, 0.449)
Tl (0.744, 0.638, 0.000)
Tl (0.611, 0.901, 0.264)
Tl (0.641, 0.268, 0.119)
Tl (0.125, 0.376, 0.759)
I (0.183, 0.645, 0.392)
I (0.035, 0.989, 0.916)

Summary:
- Crystal system: triclinic
- Space-group type: No. 1


It is model i that is the most stable of them.